An optimized crystal structure of Cs2HgIrW. Source: Alexandria, functional PBE-GGA.

a = 6.0644 Å, b = 5.2597 Å, c = 6.0644 Å
α = 90.00°, β = 90.00°, γ = 90.00°
Each line ends with the local moment (μB).
Positions (direct):
Cs (0.0000, 0.0000, 0.5000)  0.06
Cs (0.5000, 0.0000, 0.0000)  0.05
Ir (0.5000, 0.5000, 0.5000)  1.71
Hg (0.0000, 0.5000, 0.0000)  0.08
W (0.0000, 0.0000, 0.0000)  2.37

Values from the calculation:
Its crystal system is tetragonal. The space-group type is P4/mmm, No. 123. Its formation energy is 2.140 eV/atom.

=====

An optimized crystal structure of CsZn2HgIr. Source: Alexandria, functional PBE-GGA.

a = 5.0119 Å, b = 5.0119 Å, c = 5.4197 Å
α = 90.00°, β = 90.00°, γ = 90.00°
Positions (direct):
Cs (0.5000, 0.5000, 0.5000)
Zn (0.0000, 0.5000, 0.0000)
Zn (0.5000, 0.0000, 0.0000)
Ir (0.0000, 0.0000, 0.0000)
Hg (0.0000, 0.0000, 0.5000)

Values from the calculation:
Its crystal system is tetragonal. The space-group type is P4/mmm, No. 123. Its formation energy is -0.045 eV/atom.

=====

An optimized crystal structure of CsZnHg2Ir. Source: Alexandria, functional PBE-GGA.

a = 5.4218 Å, b = 5.4218 Å, c = 4.9735 Å
α = 90.00°, β = 90.00°, γ = 90.00°
Positions (direct):
Cs (0.5000, 0.5000, 0.5000)
Zn (0.0000, 0.0000, 0.5000)
Ir (0.0000, 0.0000, 0.0000)
Hg (0.0000, 0.5000, 0.0000)
Hg (0.5000, 0.0000, 0.0000)

Values from the calculation:
Its crystal system is tetragonal. The space-group type is P4/mmm, No. 123. Its formation energy is -0.055 eV/atom.

=====

An optimized crystal structure of Cs12K4Hg. Source: Alexandria, functional PBE-GGA.

a = 15.5290 Å, b = 15.5290 Å, c = 15.5290 Å
α = 109.47°, β = 109.47°, γ = 109.47°
Positions (direct):
Cs (0.0000, 0.3447, 0.6553)
Cs (0.6553, 0.3447, 0.0000)
Cs (0.3447, 0.6894, 0.3447)
Cs (0.3447, 0.3447, 0.6894)
Cs (0.6553, 0.3106, 0.6553)
Cs (0.3447, 0.6553, 0.0000)
Cs (0.6553, 0.0000, 0.3447)
Cs (0.3447, 0.0000, 0.6553)
Cs (0.6553, 0.6553, 0.3106)
Cs (0.6894, 0.3447, 0.3447)
Cs (0.3106, 0.6553, 0.6553)
Cs (0.0000, 0.6553, 0.3447)
K (0.0000, 0.5000, 0.0000)
K (0.0000, 0.0000, 0.5000)
K (0.5000, 0.0000, 0.0000)
K (0.5000, 0.5000, 0.5000)
Hg (0.0000, 0.0000, 0.0000)

Values from the calculation:
Its crystal system is cubic. The space-group type is Im-3m, No. 229. Its formation energy is 0.164 eV/atom.

=====

An optimized crystal structure of Cs2KHg. Source: Alexandria, functional PBE-GGA.

a = 5.1615 Å, b = 8.1077 Å, c = 8.1084 Å
α = 63.64°, β = 71.47°, γ = 71.48°
Positions (direct):
Cs (0.0616, 0.8813, 0.9949)
Cs (0.4384, 0.5051, 0.6187)
K (0.2500, 0.2042, 0.2958)
Hg (0.7500, 0.9094, 0.5906)

Values from the calculation:
Its crystal system is orthorhombic. The space-group type is Imm2, No. 44. Its formation energy is -0.110 eV/atom. Its energy above the most stable polymorph in this dataset is 0.003 eV per atom.

=====

An optimized crystal structure of CsK8Hg2. Source: Alexandria, functional PBE-GGA.

a = 7.2615 Å, b = 10.2087 Å, c = 10.2087 Å
α = 112.77°, β = 96.49°, γ = 96.49°
Positions (direct):
Cs (0.5000, 0.0000, 0.0000)
K (0.9186, 0.9375, 0.6606)
K (0.9186, 0.6606, 0.9375)
K (0.2719, 0.5881, 0.5881)
K (0.5000, 0.7321, 0.2679)
K (0.5000, 0.2679, 0.7321)
K (0.7281, 0.4119, 0.4119)
K (0.0814, 0.3394, 0.0625)
K (0.0814, 0.0625, 0.3394)
Hg (0.0000, 0.3143, 0.6857)
Hg (0.0000, 0.6857, 0.3143)

Values from the calculation:
Its crystal system is monoclinic. The space-group type is C2/m, No. 12. Its formation energy is -0.078 eV/atom.

=====

Question: What is the formula in the first record?
Answer: Cs2HgIrW